## LiSm2BePd6 (GGA-PBE)

Data for LiSm2BePd6 after structural relaxation.

Values from the calculation:
DFT total energy   -52.4 eV for the cell shown
E_form   -0.61 eV per atom

The structure in POSCAR format:
```
LiSm2BePd6
1.0
5.923 -0.005 -0.012
-0.015 6.710 0.526
2.937 3.720 4.725
Pd Li Sm Be
6 1 2 1
direct
0.231 0.257 0.026 Pd
0.769 0.743 0.974 Pd
0.257 0.229 0.486 Pd
0.743 0.257 0.026 Pd
0.743 0.771 0.514 Pd
0.257 0.743 0.974 Pd
0.000 0.000 0.000 Li
0.264 0.736 0.472 Sm
0.736 0.264 0.528 Sm
0.500 0.500 0.000 Be
```

---

## ZrTi2Mn (GGA-PBE)

Data for ZrTi2Mn after structural relaxation.

Values from the calculation:
DFT total energy   -33.9 eV for the cell shown
E_form   -0.10 eV per atom
Offset from the most stable computed form   0.0008 eV/atom

The structure in POSCAR format:
```
ZrTi2Mn
1.0
2.964 0.000 -0.923
-0.596 4.207 -1.915
0.062 -0.103 5.422
Mn Ti Zr
1 2 1
direct
0.500 0.000 0.000 Mn
0.788 0.788 0.577 Ti
0.212 0.212 0.423 Ti
0.000 0.500 0.000 Zr
```

---

## Cs2Hg3Au5 (GGA-PBE)

Data for Cs2Hg3Au5 after structural relaxation.

Values from the calculation:
DFT total energy   -41.0 eV for the cell shown
E_form   -0.15 eV per atom

The structure in POSCAR format:
```
Cs2Hg3Au5
1.0
-6.210 3.502 -2.081
-7.745 -5.901 -0.074
-5.925 1.829 7.507
Au Cs Hg
10 4 6
direct
0.868 0.015 0.249 Au
0.368 0.249 0.015 Au
0.499 0.251 0.251 Au
0.132 0.985 0.751 Au
0.750 0.500 0.500 Au
0.632 0.751 0.985 Au
0.250 0.500 0.500 Au
0.999 0.251 0.251 Au
0.501 0.749 0.749 Au
0.001 0.749 0.749 Au
0.127 0.622 0.124 Cs
0.873 0.378 0.876 Cs
0.373 0.876 0.378 Cs
0.627 0.124 0.622 Cs
0.877 0.749 0.498 Hg
0.623 0.502 0.251 Hg
0.750 0.000 0.000 Hg
0.123 0.251 0.502 Hg
0.377 0.498 0.749 Hg
0.250 0.000 0.000 Hg
```